A plane-wave DFT calculation with PBE was carried out for an optimized crystal structure of NdZn2Au4. Values from VASP.

```
&SYSTEM
  ibrav = 0, nat = 7, ntyp = 3
/
ATOMIC_SPECIES
Au 196.97 Au.upf
Nd 144.24 Nd.upf
Zn 65.41 Zn.upf
CELL_PARAMETERS angstrom
4.449 -3.533 0.000
4.449 3.533 0.000
-3.222 0.000 4.283
ATOMIC_POSITIONS crystal
Au 0.002 0.604 0.302
Nd 0.000 0.000 0.000
Zn 0.500 0.500 0.751
Au 0.604 0.002 0.302
Zn 0.500 0.500 0.249
Au 0.998 0.396 0.698
Au 0.396 0.998 0.698
```

Energy relative to the elements: -349 kJ/mol of formula units



A plane-wave DFT calculation with PBE was carried out for an optimized crystal structure of CsRbTcSeS2. Values from VASP.

```
&SYSTEM
  ibrav = 0, nat = 12, ntyp = 5
/
ATOMIC_SPECIES
Cs 132.91 Cs.upf
S 32.06 S.upf
Se 78.96 Se.upf
Tc 98.00 Tc.upf
Rb 85.47 Rb.upf
CELL_PARAMETERS angstrom
7.077 -3.558 0.000
7.077 3.558 0.000
-6.211 0.000 8.153
ATOMIC_POSITIONS crystal
Cs 0.291 0.291 0.182
S 0.248 0.752 0.000
Se 0.609 0.609 0.389
Se 0.391 0.391 0.611
S 0.208 0.208 0.771
Cs 0.709 0.709 0.818
Tc 0.607 0.607 0.156
S 0.792 0.792 0.229
Tc 0.393 0.393 0.844
S 0.752 0.248 0.000
Rb 0.081 0.081 0.363
Rb 0.919 0.919 0.637
```

Total DFT energy (no corrections): -4.80 eV per atom



A plane-wave DFT calculation with PBE was carried out for an optimized crystal structure of BaPrNO. Values from VASP.

```
&SYSTEM
  ibrav = 0, nat = 16, ntyp = 4
/
ATOMIC_SPECIES
Ba 137.33 Ba.upf
N 14.01 N.upf
Pr 140.91 Pr.upf
O 16.00 O.upf
CELL_PARAMETERS angstrom
-3.770 -0.023 5.995
5.568 -5.481 3.481
3.436 4.875 2.179
ATOMIC_POSITIONS crystal
Ba 0.080 0.128 0.007
N 0.952 0.837 0.078
N 0.048 0.163 0.578
Pr 0.914 0.388 0.494
Pr 0.586 0.388 0.994
Pr 0.086 0.612 0.994
Ba 0.580 0.872 0.007
N 0.452 0.163 0.078
O 0.601 0.403 0.623
O 0.899 0.403 0.123
Ba 0.420 0.128 0.507
O 0.101 0.597 0.623
Ba 0.920 0.872 0.507
Pr 0.414 0.612 0.494
O 0.399 0.597 0.123
N 0.548 0.837 0.578
```

Total DFT energy (no corrections): -6.71 eV per atom



A plane-wave DFT calculation with PBE was carried out for an optimized crystal structure of CuBiPbS3. Values from VASP.

```
&SYSTEM
  ibrav = 0, nat = 24, ntyp = 4
/
ATOMIC_SPECIES
Bi 208.98 Bi.upf
Pb 207.20 Pb.upf
S 32.06 S.upf
Cu 63.55 Cu.upf
CELL_PARAMETERS angstrom
11.769 0.000 0.000
0.000 4.059 0.000
0.000 0.000 11.310
ATOMIC_POSITIONS crystal
Bi 0.986 0.750 0.318
Pb 0.669 0.750 0.511
S 0.121 0.750 0.556
S 0.214 0.250 0.799
S 0.879 0.250 0.444
Cu 0.734 0.250 0.293
S 0.621 0.750 0.944
S 0.953 0.750 0.856
Cu 0.234 0.250 0.207
Pb 0.331 0.250 0.489
S 0.547 0.250 0.356
S 0.286 0.750 0.299
S 0.786 0.750 0.201
Pb 0.831 0.250 0.011
Bi 0.014 0.250 0.682
S 0.047 0.250 0.144
Bi 0.514 0.250 0.818
S 0.379 0.250 0.056
Cu 0.766 0.750 0.793
Bi 0.486 0.750 0.182
S 0.453 0.750 0.644
Pb 0.169 0.750 0.989
S 0.714 0.250 0.701
Cu 0.266 0.750 0.707
```

Total DFT energy (no corrections): -4.33 eV per atom



A plane-wave DFT calculation with PBE was carried out for an optimized crystal structure of U2H. Values from VASP.

```
&SYSTEM
  ibrav = 0, nat = 6, ntyp = 2
/
ATOMIC_SPECIES
U 238.03 U.upf
H 1.01 H.upf
CELL_PARAMETERS angstrom
3.209 1.853 5.240
-3.209 1.853 5.240
0.000 -3.705 5.240
ATOMIC_POSITIONS crystal
U 0.500 0.000 0.000
U 0.000 0.000 0.000
H 0.875 0.875 0.875
U 0.000 0.500 0.000
H 0.125 0.125 0.125
U 0.000 0.000 0.500
```

Total DFT energy (no corrections): -7.02 eV per atom



A plane-wave DFT calculation with PBE was carried out for an optimized crystal structure of Dy5O. Values from VASP.

```
&SYSTEM
  ibrav = 0, nat = 6, ntyp = 2
/
ATOMIC_SPECIES
O 16.00 O.upf
Dy 162.50 Dy.upf
CELL_PARAMETERS angstrom
-5.140 3.194 1.134
0.725 -5.620 2.405
2.554 2.396 4.829
ATOMIC_POSITIONS crystal
O 0.000 0.000 0.000
Dy 0.000 0.500 0.500
Dy 0.500 0.000 0.500
Dy 0.500 0.500 0.500
Dy 0.333 0.667 0.000
Dy 0.667 0.333 0.000
```

Total DFT energy (no corrections): -3.80 eV per atom



A plane-wave DFT calculation with PBE was carried out for an optimized crystal structure of BaSnHgAs2. Values from VASP.

```
&SYSTEM
  ibrav = 0, nat = 10, ntyp = 4
/
ATOMIC_SPECIES
Ba 137.33 Ba.upf
Sn 118.71 Sn.upf
As 74.92 As.upf
Hg 200.59 Hg.upf
CELL_PARAMETERS angstrom
-8.947 1.459 0.847
7.085 -3.531 -4.498
-0.637 -6.111 3.794
ATOMIC_POSITIONS crystal
Ba 0.685 0.315 0.562
Sn 0.530 0.470 0.242
As 0.676 0.324 0.066
Hg 0.885 0.115 0.419
Ba 0.315 0.685 0.062
As 0.324 0.676 0.566
Hg 0.115 0.885 0.919
As 0.956 0.044 0.076
As 0.044 0.956 0.576
Sn 0.470 0.530 0.742
```

Total DFT energy (no corrections): -3.55 eV per atom



A plane-wave DFT calculation with PBE was carried out for an optimized crystal structure of Sc4Ta2Au3C3. Values from VASP.

```
&SYSTEM
  ibrav = 0, nat = 24, ntyp = 4
/
ATOMIC_SPECIES
Sc 44.96 Sc.upf
Ta 180.95 Ta.upf
Au 196.97 Au.upf
C 12.01 C.upf
CELL_PARAMETERS angstrom
-0.416 5.495 -1.315
-4.372 1.828 -3.105
-5.753 -0.203 13.131
ATOMIC_POSITIONS crystal
Sc 0.124 0.303 0.905
Ta 0.527 0.348 0.078
Sc 0.303 0.124 0.405
Au 0.279 0.417 0.250
C 0.000 0.500 0.500
Au 0.721 0.583 0.750
C 0.191 0.654 0.000
Au 0.884 0.116 0.250
Sc 0.876 0.697 0.095
Au 0.116 0.884 0.750
Sc 0.959 0.813 0.405
Ta 0.652 0.473 0.422
C 0.346 0.809 0.500
Sc 0.041 0.187 0.595
C 0.500 0.000 0.000
C 0.654 0.191 0.500
C 0.809 0.346 0.000
Ta 0.348 0.527 0.578
Sc 0.187 0.041 0.095
Au 0.417 0.279 0.750
Sc 0.697 0.876 0.595
Ta 0.473 0.652 0.922
Au 0.583 0.721 0.250
Sc 0.813 0.959 0.905
```

Total DFT energy (no corrections): -7.79 eV per atom



A plane-wave DFT calculation with PBE was carried out for an optimized crystal structure of HfTaNi. Values from VASP.

```
&SYSTEM
  ibrav = 0, nat = 3, ntyp = 3
/
ATOMIC_SPECIES
Ni 58.69 Ni.upf
Ta 180.95 Ta.upf
Hf 178.49 Hf.upf
CELL_PARAMETERS angstrom
0.345 -3.573 2.354
1.225 0.245 4.107
-2.826 -0.787 3.134
ATOMIC_POSITIONS crystal
Ni 0.000 0.000 0.000
Ta 0.750 0.750 0.750
Hf 0.250 0.250 0.250
```

Energy relative to the elements: 52 kJ/mol of formula units



A plane-wave DFT calculation with PBE was carried out for an optimized crystal structure of La2Hg. Values from VASP.

```
&SYSTEM
  ibrav = 0, nat = 6, ntyp = 2
/
ATOMIC_SPECIES
Hg 200.59 Hg.upf
La 138.91 La.upf
CELL_PARAMETERS angstrom
0.000 4.551 4.551
4.551 0.000 4.551
4.551 4.551 0.000
ATOMIC_POSITIONS crystal
Hg 0.250 0.250 0.250
Hg 0.000 0.000 0.000
La 0.625 0.625 0.125
La 0.125 0.625 0.625
La 0.625 0.125 0.625
La 0.625 0.625 0.625
```

Energy relative to the elements: 45 kJ/mol of formula units



A plane-wave DFT calculation with PBE was carried out for an optimized crystal structure of TlMoW2. Values from VASP.

```
&SYSTEM
  ibrav = 0, nat = 4, ntyp = 3
/
ATOMIC_SPECIES
Tl 204.38 Tl.upf
Mo 95.94 Mo.upf
W 183.84 W.upf
CELL_PARAMETERS angstrom
0.000 3.263 3.263
3.263 0.000 3.263
3.263 3.263 0.000
ATOMIC_POSITIONS crystal
Tl 0.500 0.500 0.500
Mo 0.250 0.250 0.250
W 0.750 0.750 0.750
W 0.000 0.000 0.000
```

Total DFT energy (no corrections): -9.00 eV per atom



A plane-wave DFT calculation with PBE was carried out for an optimized crystal structure of Zr2PBrF. Values from VASP.

```
&SYSTEM
  ibrav = 0, nat = 5, ntyp = 4
/
ATOMIC_SPECIES
P 30.97 P.upf
Zr 91.22 Zr.upf
F 19.00 F.upf
Br 79.90 Br.upf
CELL_PARAMETERS angstrom
-0.388 -0.505 3.616
3.356 0.220 -1.473
-0.038 8.373 1.166
ATOMIC_POSITIONS crystal
P 0.667 0.333 0.982
Zr 0.000 0.000 0.820
F 0.333 0.667 0.682
Zr 0.333 0.667 0.145
Br 0.000 0.000 0.371
```

Total DFT energy (no corrections): -6.96 eV per atom



Number 1: calculated volume 134.64 Å³/f.u.. Number 2: calculated volume 205.28 Å³/f.u.. Number 3: calculated volume 96.15 Å³/f.u.. Number 4: calculated volume 135.07 Å³/f.u.. Number 5: calculated volume 93.45 Å³/f.u.. Number 6: calculated volume 195.80 Å³/f.u.. Number 7: calculated volume 146.08 Å³/f.u.. Number 8: calculated volume 194.46 Å³/f.u.. Number 9: calculated volume 55.94 Å³/f.u.. Number 10: calculated volume 94.26 Å³/f.u.. Number 11: calculated volume 69.47 Å³/f.u.. Number 12: calculated volume 98.69 Å³/f.u..